(1)
{
  "formula": "CsHg4As",
  "functional": "PBE-GGA",
  "state": "relaxed",
  "vol_a3_per_fu": 204.4,
  "spacegroup": "Cmcm (63)",
  "delta_e_f_kj_per_mol_atoms": -10,
  "m_tot_mub_per_fu": 0.00,
  "e_tot_ev_per_atom": -1.226,
  "lattice": [[2.8299, -7.7758, 0.0000], [2.8299, 7.7758, 0.0000], [0.0000, 0.0000, 9.2907]],
  "species": ["Cs", "Cs", "Hg", "Hg", "Hg", "Hg", "Hg", "Hg", "Hg", "Hg", "As", "As"],
  "frac_coords": [[0.1044, 0.8956, 0.7500], [0.8956, 0.1044, 0.2500], [0.1478, 0.8522, 0.2500], [0.2939, 0.7061, 0.0260], [0.2939, 0.7061, 0.4740], [0.5000, 0.5000, 0.0000], [0.5000, 0.5000, 0.5000], [0.7061, 0.2939, 0.5260], [0.7061, 0.2939, 0.9740], [0.8522, 0.1478, 0.7500], [0.4100, 0.5900, 0.7500], [0.5900, 0.4100, 0.2500]]
}

***

(2)
{
  "formula": "Cs4Hg3As",
  "functional": "PBE-GGA",
  "state": "relaxed",
  "vol_a3_per_fu": 382.9,
  "spacegroup": "Pmm2 (25)",
  "delta_e_f_kj_per_mol_atoms": -25,
  "m_tot_mub_per_fu": 0.00,
  "e_tot_ev_per_atom": -1.382,
  "lattice": [[4.9418, 0.0000, 0.0000], [0.0000, 5.7275, 0.0000], [0.0000, 0.0000, 13.5269]],
  "species": ["Cs", "Cs", "Cs", "Cs", "Hg", "Hg", "Hg", "As"],
  "frac_coords": [[0.0000, 0.0000, 0.0000], [0.0000, 0.5000, 0.4615], [0.5000, 0.0000, 0.6803], [0.5000, 0.5000, 0.1926], [0.0000, 0.5000, 0.7675], [0.5000, 0.0000, 0.3814], [0.5000, 0.5000, 0.8964], [0.0000, 0.0000, 0.2764]]
}

***

> Number 2 is which compound?

Cs4Hg3As